Entry 1:
## Hf3SbH3 (GGA-PBE)

Data for a relaxed structure of Hf3SbH3.

Cell lengths 7.596, 7.596, 7.596 Å; angles 45.77, 45.77, 45.77 degrees
Sites, in units of the cell vectors:
Hf1 0.090 0.399 0.710
Hf2 0.290 0.910 0.601
Hf3 0.399 0.710 0.090
Hf4 0.601 0.290 0.910
Hf5 0.710 0.090 0.399
Hf6 0.910 0.601 0.290
Sb1 0.167 0.167 0.167
Sb2 0.833 0.833 0.833
H1 0.023 0.710 0.367
H2 0.290 0.633 0.977
H3 0.367 0.023 0.710
H4 0.633 0.977 0.290
H5 0.710 0.367 0.023
H6 0.977 0.290 0.633

## Properties
Space-group type: R-3 (148)

Entry 2:
## CsZnF3 (GGA-PBE)

Data for a relaxed structure of CsZnF3.

Cell lengths 7.354, 5.755, 9.129 Å; angles 90.00, 98.10, 90.00 degrees
Sites, in units of the cell vectors:
Cs1 0.139 0.221 0.171
Cs2 0.139 0.279 0.671
Cs3 0.861 0.721 0.329
Cs4 0.861 0.779 0.829
Zn1 0.421 0.746 0.030
Zn2 0.421 0.754 0.530
Zn3 0.579 0.246 0.470
Zn4 0.579 0.254 0.970
F1 0.175 0.711 0.081
F2 0.175 0.789 0.581
F3 0.345 0.070 0.933
F4 0.345 0.430 0.433
F5 0.458 0.543 0.856
F6 0.458 0.957 0.356
F7 0.542 0.043 0.644
F8 0.542 0.457 0.144
F9 0.655 0.570 0.567
F10 0.655 0.930 0.067
F11 0.825 0.211 0.419
F12 0.825 0.289 0.919

## Properties
Formation energy (no corrections), kcal/mol of atoms: -57.43
Space-group type: P2_1/c (14)

Entry 3:
## MgSi2Cl (GGA-PBE)

Data for a relaxed structure of MgSi2Cl.

Cell lengths 3.036, 3.036, 27.448 Å; angles 90.00, 90.00, 120.00 degrees
Sites, in units of the cell vectors:
Mg1 0.000 0.000 0.000
Mg2 0.333 0.667 0.667
Mg3 0.667 0.333 0.333
Si1 0.000 0.000 0.247
Si2 0.000 0.000 0.753
Si3 0.333 0.667 0.420
Si4 0.333 0.667 0.913
Si5 0.667 0.333 0.087
Si6 0.667 0.333 0.580
Cl1 0.000 0.000 0.500
Cl2 0.333 0.667 0.167
Cl3 0.667 0.333 0.833

## Properties
Formation energy (no corrections), kcal/mol of atoms: 8.19
Space-group type: R-3m (166)

Entry 4:
## KNaNb2Ru (GGA-PBE)

Data for a relaxed structure of KNaNb2Ru.

Cell lengths 4.946, 4.946, 4.586 Å; angles 90.00, 90.00, 90.00 degrees
Sites, in units of the cell vectors:
K1 0.000 0.000 0.000
Na1 0.000 0.000 0.500
Nb1 0.000 0.500 0.500
Nb2 0.500 0.000 0.500
Ru1 0.500 0.500 0.000

## Properties
Energy of formation, meV per atom: 2526
Space-group type: P4/mmm (123)

Entry 5:
## Ba8As5I (GGA-PBE)

Data for a relaxed structure of Ba8As5I.

Cell lengths 8.816, 8.816, 8.816 Å; angles 109.20, 109.20, 110.01 degrees
Sites, in units of the cell vectors:
Ba1 0.235 0.480 0.088
Ba2 0.375 0.131 0.368
Ba3 0.392 0.147 0.912
Ba4 0.520 0.608 0.755
Ba5 0.763 0.007 0.632
Ba6 0.853 0.765 0.245
Ba7 0.869 0.237 0.244
Ba8 0.993 0.625 0.756
As1 0.000 0.000 0.000
As2 0.132 0.243 0.623
As3 0.491 0.868 0.111
As4 0.620 0.509 0.377
As5 0.757 0.380 0.889
I1 0.250 0.750 0.500

## Properties
Formation energy (no corrections), kcal/mol of atoms: -27.70
Space-group type: I-4 (82)

Entry 6:
## Si4Ag (GGA-PBE)

Data for a relaxed structure of Si4Ag.

Cell lengths 5.301, 5.301, 5.949 Å; angles 90.00, 90.00, 90.00 degrees
Sites, in units of the cell vectors:
Si1 0.018 0.250 0.123
Si2 0.250 0.018 0.623
Si3 0.250 0.482 0.623
Si4 0.482 0.250 0.123
Si5 0.518 0.750 0.877
Si6 0.750 0.518 0.377
Si7 0.750 0.982 0.377
Si8 0.982 0.750 0.877
Ag1 0.250 0.750 0.250
Ag2 0.750 0.250 0.750

## Properties
Formation energy (no corrections), kcal/mol of atoms: 11.20
Space-group type: P4_2/nmc (137)

Entry 7:
## Sr2TlF2 (GGA-PBE)

Data for a relaxed structure of Sr2TlF2.

Cell lengths 4.077, 4.077, 15.055 Å; angles 90.00, 90.00, 90.00 degrees
Sites, in units of the cell vectors:
Sr1 0.000 0.000 0.154
Sr2 0.000 0.000 0.846
Sr3 0.500 0.500 0.346
Sr4 0.500 0.500 0.654
Tl1 0.000 0.000 0.500
Tl2 0.500 0.500 0.000
F1 0.000 0.500 0.250
F2 0.000 0.500 0.750
F3 0.500 0.000 0.250
F4 0.500 0.000 0.750

## Properties
Formation energy (no corrections), kcal/mol of atoms: -56.58
Space-group type: I4/mmm (139)

Let's list calculated total energy in order: -91.61, -80.77, -38.60, -19.20, -56.99, -44.23, -43.48 eV for the cell shown.